Material: Sr2GaBi
Method: DFT, PBE-GGA
State: optimized geometry

Results
energy of formation from the pure elements: -0.35 eV/atom
relative energy among the computed polymorphs: 224 meV per atom
V: 38.03 A^3/atom
DOS(E_F): 0.68 states/eV per atom

Cell and atoms, written as CIF:
```
data_Sr2GaBi
_symmetry_space_group_name_H-M 'P 1'
_symmetry_Int_Tables_number 1
_cell_length_a 10.583
_cell_length_b 6.910
_cell_length_c 9.239
_cell_angle_alpha 90.00
_cell_angle_beta 115.77
_cell_angle_gamma 90.00
loop_
_symmetry_equiv_pos_as_xyz
'x,y,z'
loop_
_atom_site_label
_atom_site_type_symbol
_atom_site_fract_x
_atom_site_fract_y
_atom_site_fract_z
_atom_site_occupancy
Sr1 Sr 0.136 0.250 0.068 1
Sr2 Sr 0.136 0.250 0.568 1
Sr3 Sr 0.272 0.750 0.386 1
Sr4 Sr 0.272 0.750 0.886 1
Sr5 Sr 0.728 0.250 0.114 1
Sr6 Sr 0.728 0.250 0.614 1
Sr7 Sr 0.864 0.750 0.432 1
Sr8 Sr 0.864 0.750 0.932 1
Ga1 Ga 0.369 0.248 0.435 1
Ga2 Ga 0.369 0.252 0.935 1
Ga3 Ga 0.631 0.748 0.065 1
Ga4 Ga 0.631 0.752 0.565 1
Bi1 Bi 0.500 0.000 0.249 1
Bi2 Bi 0.500 0.000 0.751 1
Bi3 Bi 0.500 0.500 0.251 1
Bi4 Bi 0.500 0.500 0.749 1
```